Entry 1:
Here is a crystal of TlSiPb2 relaxed with PBEsol from the Alexandria database. Energies are from SCAN.

Values from the calculation:
**Uncorrected formation energy**: 0.3580 eV/atom
**Spin magnetization**: 0.000 μB/f.u.

```
data_TlSiPb2
_chemical_formula_sum 'Tl1 Si1 Pb2'
_cell_length_a 3.474
_cell_length_b 4.444
_cell_length_c 7.037
_cell_angle_alpha 90.00
_cell_angle_beta 104.01
_cell_angle_gamma 90.00
_symmetry_space_group_name_H-M 'P 1 m 1'
_symmetry_Int_Tables_number 6
loop_
_symmetry_equiv_pos_as_xyz
'x,y,z'
'x,-y,z'
loop_
_atom_site_label
_atom_site_fract_x
_atom_site_fract_y
_atom_site_fract_z
_atom_site_occupancy
Tl1 0.000 0.000 0.000 1
Si1 0.420 0.500 0.841 1
Pb1 0.283 0.000 0.559 1
Pb2 0.643 0.500 0.282 1
```


Entry 2:
Here is a crystal of LiZrRe2 relaxed with PBEsol from the Alexandria database. Energies are from SCAN.

Values from the calculation:
**Formation energy from the elements**: 20 kJ/mol of formula units
**Offset from the most stable computed form**: 51 meV/atom
**Spin magnetization**: 0.000 μB/f.u.

```
data_LiZrRe2
_chemical_formula_sum 'Li1 Zr1 Re2'
_cell_length_a 2.716
_cell_length_b 4.357
_cell_length_c 5.399
_cell_angle_alpha 90.00
_cell_angle_beta 100.88
_cell_angle_gamma 90.00
_symmetry_space_group_name_H-M 'P 1 m 1'
_symmetry_Int_Tables_number 6
loop_
_symmetry_equiv_pos_as_xyz
'x,y,z'
'x,-y,z'
loop_
_atom_site_label
_atom_site_fract_x
_atom_site_fract_y
_atom_site_fract_z
_atom_site_occupancy
Li1 0.000 0.000 0.000 1
Zr1 0.313 0.500 0.756 1
Re1 0.600 0.000 0.455 1
Re2 0.852 0.500 0.265 1
```


Entry 3:
Here is a crystal of Si3AsH27C9 relaxed with PBEsol from the Alexandria database. Energies are from SCAN.

Values from the calculation:
**Spin magnetization**: 0.000 μB/f.u.
**VASP energy**: -6.087 eV per atom

```
data_Si3AsH27C9
_chemical_formula_sum 'Si12 As4 H108 C36'
_cell_length_a 9.928
_cell_length_b 15.319
_cell_length_c 12.378
_cell_angle_alpha 90.00
_cell_angle_beta 114.47
_cell_angle_gamma 90.00
_symmetry_space_group_name_H-M 'P 1 21/c 1'
_symmetry_Int_Tables_number 14
loop_
_symmetry_equiv_pos_as_xyz
'x,y,z'
'-x,-y,-z'
'-x,y+1/2,-z+1/2'
'x,-y+1/2,z+1/2'
loop_
_atom_site_label
_atom_site_fract_x
_atom_site_fract_y
_atom_site_fract_z
_atom_site_occupancy
Si1 0.018 0.208 0.470 1
Si2 0.292 0.114 0.063 1
Si3 0.414 0.158 0.600 1
As1 0.241 0.249 0.959 1
H1 0.016 0.059 0.385 1
H2 0.069 0.039 0.913 1
H3 0.073 0.637 0.230 1
H4 0.075 0.642 0.521 1
H5 0.081 0.220 0.689 1
H6 0.082 0.656 0.889 1
H7 0.097 0.110 0.648 1
H8 0.116 0.109 0.161 1
H9 0.125 0.675 0.670 1
H10 0.167 0.595 0.144 1
H11 0.215 0.537 0.489 1
H12 0.222 0.031 0.874 1
H13 0.224 0.717 0.589 1
H14 0.245 0.030 0.574 1
H15 0.272 0.040 0.233 1
H16 0.288 0.155 0.259 1
H17 0.322 0.029 0.467 1
H18 0.324 0.625 0.860 1
H19 0.353 0.174 0.777 1
H20 0.364 0.737 0.899 1
H21 0.426 0.655 0.011 1
H22 0.431 0.504 0.116 1
H23 0.437 0.639 0.312 1
H24 0.466 0.630 0.683 1
H25 0.468 0.599 0.456 1
H26 0.478 0.526 0.347 1
H27 0.499 0.744 0.711 1
C1 0.031 0.171 0.618 1
C2 0.058 0.616 0.140 1
C3 0.113 0.697 0.582 1
C4 0.190 0.029 0.949 1
C5 0.237 0.105 0.190 1
C6 0.346 0.043 0.560 1
C7 0.409 0.670 0.919 1
C8 0.453 0.179 0.760 1
C9 0.496 0.093 0.117 1
```


Entry 4:
Here is a crystal of CoAg3O relaxed with PBEsol from the Alexandria database. Energies are from SCAN.

Values from the calculation:
**Uncorrected formation energy**: 1.3555 eV/atom
**Spin magnetization**: 2.807 μB/f.u.

```
data_CoAg3O
_chemical_formula_sum 'Co1 Ag3 O1'
_cell_length_a 4.629
_cell_length_b 4.629
_cell_length_c 4.629
_cell_angle_alpha 90.00
_cell_angle_beta 90.00
_cell_angle_gamma 90.00
_symmetry_space_group_name_H-M 'P m -3 m'
_symmetry_Int_Tables_number 221
_symmetry_space_group_name_Hall '-P 4 2 3'
loop_
_atom_site_label
_atom_site_fract_x
_atom_site_fract_y
_atom_site_fract_z
_atom_site_occupancy
Co1 0.000 0.000 0.000 1
Ag1 0.000 0.000 0.500 1
O1 0.500 0.500 0.500 1
```


Entry 5:
Here is a crystal of P2IrI relaxed with PBEsol from the Alexandria database. Energies are from SCAN.

Values from the calculation:
**Uncorrected formation energy**: 0.1254 eV/atom
**Spin magnetization**: 0.000 μB/f.u.

```
data_P2IrI
_chemical_formula_sum 'P8 Ir4 I4'
_cell_length_a 6.430
_cell_length_b 6.430
_cell_length_c 9.249
_cell_angle_alpha 90.00
_cell_angle_beta 90.00
_cell_angle_gamma 90.00
_symmetry_space_group_name_H-M 'I -4 2 d'
_symmetry_Int_Tables_number 122
_symmetry_space_group_name_Hall 'I -4 2bw'
loop_
_atom_site_label
_atom_site_fract_x
_atom_site_fract_y
_atom_site_fract_z
_atom_site_occupancy
P1 0.152 0.250 0.125 1
Ir1 0.000 0.000 0.000 1
I1 0.000 0.000 0.500 1
```


Entry 6:
Here is a crystal of Cs2TiTc relaxed with PBEsol from the Alexandria database. Energies are from SCAN.

Values from the calculation:
**Formation energy from the elements**: 771 kJ/mol of formula units
**Spin magnetization**: 0.671 μB/f.u.

```
data_Cs2TiTc
_chemical_formula_sum 'Cs8 Ti4 Tc4'
_cell_length_a 7.688
_cell_length_b 7.688
_cell_length_c 7.688
_cell_angle_alpha 90.00
_cell_angle_beta 90.00
_cell_angle_gamma 90.00
_symmetry_space_group_name_H-M 'F m -3 m'
_symmetry_Int_Tables_number 225
_symmetry_space_group_name_Hall '-F 4 2 3'
loop_
_atom_site_label
_atom_site_fract_x
_atom_site_fract_y
_atom_site_fract_z
_atom_site_occupancy
Cs1 0.250 0.250 0.250 1
Ti1 0.000 0.000 0.000 1
Tc1 0.000 0.000 0.500 1
```


Entry 7:
Here is a crystal of LaCu3Ni2 relaxed with PBEsol from the Alexandria database. Energies are from SCAN.

Values from the calculation:
**Formation energy from the elements**: -122 kJ/mol of formula units
**Spin magnetization**: 0.000 μB/f.u.

```
data_LaCu3Ni2
_chemical_formula_sum 'La1 Cu3 Ni2'
_cell_length_a 4.9528
_cell_length_b 4.9528
_cell_length_c 4.0339
_cell_angle_alpha 90.00
_cell_angle_beta 90.00
_cell_angle_gamma 120.00
_symmetry_space_group_name_H-M 'P 6/m m m'
_symmetry_Int_Tables_number 191
_symmetry_space_group_name_Hall '-P 6 2'
loop_
_atom_site_label
_atom_site_fract_x
_atom_site_fract_y
_atom_site_fract_z
_atom_site_occupancy
La1 0.0000 0.0000 0.0000 1
Cu1 0.0000 0.5000 0.5000 1
Ni1 0.3333 0.6667 0.0000 1
```


Entry 8:
Here is a crystal of Sc2InH relaxed with PBEsol from the Alexandria database. Energies are from SCAN.

Values from the calculation:
**Spin magnetization**: 0.000 μB/f.u.
**VASP energy**: -16.450 eV per atom

```
data_Sc2InH
_chemical_formula_sum 'Sc6 In3 H3'
_cell_length_a 3.2421
_cell_length_b 3.2421
_cell_length_c 24.9276
_cell_angle_alpha 90.00
_cell_angle_beta 90.00
_cell_angle_gamma 120.00
_symmetry_space_group_name_H-M 'R -3 m'
_symmetry_Int_Tables_number 166
_symmetry_space_group_name_Hall '-R 3 2"'
loop_
_atom_site_label
_atom_site_fract_x
_atom_site_fract_y
_atom_site_fract_z
_atom_site_occupancy
Sc1 0.0000 0.0000 0.1189 1
In1 0.0000 0.0000 0.0000 1
H1 0.0000 0.0000 0.5000 1
```


Entry 9:
Here is a crystal of ReAgSe2O relaxed with PBEsol from the Alexandria database. Energies are from SCAN.

Values from the calculation:
**Uncorrected formation energy**: 0.7036 eV/atom
**Spin magnetization**: 0.000 μB/f.u.

```
data_ReAgSe2O
_chemical_formula_sum 'Re1 Ag1 Se2 O1'
_cell_length_a 4.892
_cell_length_b 4.892
_cell_length_c 3.668
_cell_angle_alpha 90.00
_cell_angle_beta 90.00
_cell_angle_gamma 90.00
_symmetry_space_group_name_H-M 'P 4/m m m'
_symmetry_Int_Tables_number 123
_symmetry_space_group_name_Hall '-P 4 2'
loop_
_atom_site_label
_atom_site_fract_x
_atom_site_fract_y
_atom_site_fract_z
_atom_site_occupancy
Re1 0.000 0.000 0.000 1
Ag1 0.500 0.500 0.000 1
Se1 0.000 0.500 0.500 1
O1 0.000 0.000 0.500 1
```


Entry 10:
Here is a crystal of LiPPbCl2 relaxed with PBEsol from the Alexandria database. Energies are from SCAN.

Values from the calculation:
**Uncorrected formation energy**: -0.4643 eV/atom
**Spin magnetization**: 1.271 μB/f.u.

```
data_LiPPbCl2
_chemical_formula_sum 'Li1 P1 Pb1 Cl2'
_cell_length_a 4.484
_cell_length_b 4.484
_cell_length_c 5.109
_cell_angle_alpha 90.00
_cell_angle_beta 90.00
_cell_angle_gamma 90.00
_symmetry_space_group_name_H-M 'P 4/m m m'
_symmetry_Int_Tables_number 123
_symmetry_space_group_name_Hall '-P 4 2'
loop_
_atom_site_label
_atom_site_fract_x
_atom_site_fract_y
_atom_site_fract_z
_atom_site_occupancy
Li1 0.000 0.000 0.000 1
P1 0.000 0.000 0.500 1
Pb1 0.500 0.500 0.500 1
Cl1 0.000 0.500 0.000 1
```


Entry 11:
Here is a crystal of Pr4Ho11S22 relaxed with PBEsol from the Alexandria database. Energies are from SCAN.

Values from the calculation:
**Uncorrected formation energy**: -2.3877 eV/atom
**Spin magnetization**: 0.000 μB/f.u.

```
data_Pr4Ho11S22
_chemical_formula_sum 'Pr8 Ho22 S44'
_cell_length_a 38.638
_cell_length_b 3.902
_cell_length_c 11.242
_cell_angle_alpha 90.00
_cell_angle_beta 91.79
_cell_angle_gamma 90.00
_symmetry_space_group_name_H-M 'C 1 2/m 1'
_symmetry_Int_Tables_number 12
loop_
_symmetry_equiv_pos_as_xyz
'x,y,z'
'-x,-y,-z'
'-x,y,-z'
'x,-y,z'
'x+1/2,y+1/2,z'
'-x+1/2,-y+1/2,-z'
'-x+1/2,y+1/2,-z'
'x+1/2,-y+1/2,z'
loop_
_atom_site_label
_atom_site_fract_x
_atom_site_fract_y
_atom_site_fract_z
_atom_site_occupancy
Pr1 0.105 0.000 0.012 1
Pr2 0.132 0.500 0.649 1
Ho1 0.000 0.000 0.000 1
Ho2 0.038 0.500 0.731 1
Ho3 0.071 0.000 0.359 1
Ho4 0.158 0.500 0.300 1
Ho5 0.202 0.000 0.941 1
Ho6 0.236 0.500 0.648 1
S1 0.008 0.000 0.240 1
S2 0.047 0.500 0.971 1
S3 0.059 0.500 0.510 1
S4 0.088 0.000 0.755 1
S5 0.093 0.500 0.210 1
S6 0.136 0.000 0.452 1
S7 0.150 0.500 0.906 1
S8 0.169 0.000 0.149 1
S9 0.188 0.000 0.690 1
S10 0.220 0.500 0.410 1
S11 0.246 0.500 0.880 1
```


Entry 12:
Here is a crystal of RbScNb2 relaxed with PBEsol from the Alexandria database. Energies are from SCAN.

Values from the calculation:
**Formation energy from the elements**: 624 kJ/mol of formula units
**Spin magnetization**: 4.346 μB/f.u.

```
data_RbScNb2
_chemical_formula_sum 'Rb4 Sc4 Nb8'
_cell_length_a 7.151
_cell_length_b 7.151
_cell_length_c 7.151
_cell_angle_alpha 90.00
_cell_angle_beta 90.00
_cell_angle_gamma 90.00
_symmetry_space_group_name_H-M 'F m -3 m'
_symmetry_Int_Tables_number 225
_symmetry_space_group_name_Hall '-F 4 2 3'
loop_
_atom_site_label
_atom_site_fract_x
_atom_site_fract_y
_atom_site_fract_z
_atom_site_occupancy
Rb1 0.000 0.000 0.000 1
Sc1 0.000 0.000 0.500 1
Nb1 0.250 0.250 0.250 1
```


Entry 13:
Here is a crystal of Cs2SmAuCl6 relaxed with PBEsol from the Alexandria database. Energies are from SCAN.

Values from the calculation:
**Uncorrected formation energy**: -1.9103 eV/atom
**Spin magnetization**: 0.000 μB/f.u.

```
data_Cs2SmAuCl6
_chemical_formula_sum 'Cs8 Sm4 Au4 Cl24'
_cell_length_a 10.681
_cell_length_b 10.681
_cell_length_c 10.681
_cell_angle_alpha 90.00
_cell_angle_beta 90.00
_cell_angle_gamma 90.00
_symmetry_space_group_name_H-M 'F m -3 m'
_symmetry_Int_Tables_number 225
_symmetry_space_group_name_Hall '-F 4 2 3'
loop_
_atom_site_label
_atom_site_fract_x
_atom_site_fract_y
_atom_site_fract_z
_atom_site_occupancy
Cs1 0.250 0.250 0.250 1
Sm1 0.000 0.000 0.000 1
Au1 0.000 0.000 0.500 1
Cl1 0.000 0.000 0.249 1
```


Entry 14:
Here is a crystal of Li5FeO3F relaxed with PBEsol from the Alexandria database. Energies are from SCAN.

Values from the calculation:
**Offset from the most stable computed form**: 14 meV/atom
**Uncorrected formation energy**: -2.0493 eV/atom
**Spin magnetization**: 4.000 μB/f.u.

```
data_Li5FeO3F
_chemical_formula_sum 'Li20 Fe4 O12 F4'
_cell_length_a 6.705
_cell_length_b 7.989
_cell_length_c 7.101
_cell_angle_alpha 90.00
_cell_angle_beta 90.00
_cell_angle_gamma 90.00
_symmetry_space_group_name_H-M 'A m a 2'
_symmetry_Int_Tables_number 40
loop_
_symmetry_equiv_pos_as_xyz
'x,y,z'
'-x,-y,z'
'-x+1/2,y,z'
'x+1/2,-y,z'
'x,y+1/2,z+1/2'
'-x,-y+1/2,z+1/2'
'-x+1/2,y+1/2,z+1/2'
'x+1/2,-y+1/2,z+1/2'
loop_
_atom_site_label
_atom_site_fract_x
_atom_site_fract_y
_atom_site_fract_z
_atom_site_occupancy
Li1 0.000 0.000 0.000 1
Li2 0.042 0.152 0.420 1
Li3 0.250 0.128 0.698 1
Li4 0.250 0.416 0.714 1
Fe1 0.250 0.282 0.123 1
O1 0.012 0.289 0.657 1
O2 0.250 0.486 0.973 1
F1 0.250 0.004 0.914 1
```


Entry 15:
Here is a crystal of MgV3P3O13 relaxed with PBEsol from the Alexandria database. Energies are from SCAN.

Values from the calculation:
**Uncorrected formation energy**: -2.6244 eV/atom
**Spin magnetization**: 6.000 μB/f.u.

```
data_MgV3P3O13
_chemical_formula_sum 'Mg2 V6 P6 O26'
_cell_length_a 7.545
_cell_length_b 6.296
_cell_length_c 9.889
_cell_angle_alpha 90.00
_cell_angle_beta 100.24
_cell_angle_gamma 90.00
_symmetry_space_group_name_H-M 'P 1 21/m 1'
_symmetry_Int_Tables_number 11
loop_
_symmetry_equiv_pos_as_xyz
'x,y,z'
'-x,-y,-z'
'-x,y+1/2,-z'
'x,-y+1/2,z'
loop_
_atom_site_label
_atom_site_fract_x
_atom_site_fract_y
_atom_site_fract_z
_atom_site_occupancy
Mg1 0.139 0.250 0.184 1
V1 0.150 0.250 0.801 1
V2 0.279 0.750 0.430 1
V3 0.500 0.000 0.000 1
P1 0.176 0.750 0.108 1
P2 0.226 0.750 0.762 1
P3 0.285 0.250 0.501 1
O1 0.017 0.250 0.978 1
O2 0.107 0.562 0.790 1
O3 0.125 0.750 0.254 1
O4 0.162 0.250 0.607 1
O5 0.250 0.061 0.399 1
O6 0.268 0.750 0.617 1
O7 0.282 0.543 0.097 1
O8 0.374 0.250 0.904 1
O9 0.408 0.750 0.866 1
O10 0.482 0.250 0.580 1
```


The following density values (in kg/m3) correspond, in order, to the records above: 10191 12453 1142 6673 6620 6018 8660 4517 8853 5108 6044 5743 4502 2751 3434.